SrVZn2Pt | Alexandria via LeMat-Bulk | PBE-GGA | relaxed; energy of formation = 632 meV per atom; density = 5.81 g/cm3; space group = P4/mmm, No. 123; calculated total energy = -3.246 eV per atom
1.0
-2.7063 3.8042 1.4732
-2.8994 -0.2358 -4.7173
-3.1754 -3.0742 2.1054
Pt Zn Sr V
1 2 1 1
direct
0.0000 0.0000 0.0000 Pt
0.0000 0.0000 0.5000 Zn
0.5000 0.0000 0.0000 Zn
0.0000 0.5000 0.0000 Sr
0.5000 0.5000 0.5000 V